A plane-wave DFT calculation with GGA-PBE was carried out for Zn5Cu4Au after structural relaxation.

Cell: 3.053 3.053 14.684 Å, 90.00 90.00 90.00°
Sites, in units of the cell vectors:
Cu 0.000 0.000 0.596
Cu 0.000 0.000 0.788
Cu 0.000 0.000 0.404
Cu 0.000 0.000 0.212
Zn 0.500 0.500 0.883
Zn 0.500 0.500 0.308
Zn 0.500 0.500 0.500
Zn 0.500 0.500 0.692
Zn 0.500 0.500 0.117
Au 0.000 0.000 0.000

Calculated values
ΔE_f (meV/atom): -110.6
Spin magnetization (μB per formula unit): 0.00
Symmetry: No. 123
D(E_F) (states/eV per atom): 0.238